# LaCr2H7 | Alexandria via LeMat-Bulk | PBE-GGA | relaxed
# E: -4.907 eV per atom
# total magnetization: 9.992 Bohr magnetons per cell
# DOS(E_F): 5.251 states/eV per cell
data_LaCr2H7
_chemical_formula_sum 'La2 Cr4 H14'
_cell_length_a 5.1498
_cell_length_b 9.5040
_cell_length_c 3.4646
_cell_angle_alpha 90.00
_cell_angle_beta 90.00
_cell_angle_gamma 90.00
_space_group_name_H-M_alt 'C m m m'
_space_group_IT_number 65
_space_group_name_Hall '-C 2 2'
loop_
_atom_site_label
_atom_site_type_symbol
_atom_site_fract_x
_atom_site_fract_y
_atom_site_fract_z
La1 La 0.0000 0.0000 0.0000
Cr1 Cr 0.0000 0.3182 0.5000
H1 H 0.0000 0.3552 0.0000
H2 H 0.0000 0.5000 0.5000
H3 H 0.1711 0.1533 0.5000